1.
{"formula": "ScSiWBr2", "functional": "PBE", "state": "optimized geometry", "formation_energy_uncorrected_ev_per_atom": 1.289, "space_group": "P4/mmm, No. 123", "crystal_system": "tetragonal", "m_tot_mub_per_cell": 4.8, "lattice": [[5.024, 0.000, 0.000], [0.000, 5.024, 0.000], [0.000, 0.000, 5.513]], "species": ["Sc", "Si", "W", "Br", "Br"], "fractional_positions": [[0.000, 0.000, 0.000], [0.000, 0.000, 0.500], [0.500, 0.500, 0.000], [0.000, 0.500, 0.500], [0.500, 0.000, 0.500]]}

---

2.
{"formula": "ScCdW3", "functional": "PBE", "state": "optimized geometry", "space_group": "Pm-3m, No. 221", "crystal_system": "cubic", "m_tot_mub_per_cell": 0.0, "ef_kj_per_mol_atoms": 224.0, "de_polymorph_ev_per_atom": 0.000, "lattice": [[4.675, 0.000, 0.000], [0.000, 4.675, 0.000], [0.000, 0.000, 4.675]], "species": ["Sc", "Cd", "W", "W", "W"], "fractional_positions": [[0.000, 0.000, 0.000], [0.500, 0.500, 0.500], [0.000, 0.000, 0.500], [0.000, 0.500, 0.000], [0.500, 0.000, 0.000]]}

---

3.
{"formula": "TiTcAg2", "functional": "PBE", "state": "optimized geometry", "space_group": "I-42d, No. 122", "crystal_system": "tetragonal", "m_tot_mub_per_cell": 0.0, "ef_kj_per_mol_atoms": 45.8, "lattice": [[3.700, 0.000, 0.000], [0.000, 3.700, 0.000], [0.000, 0.000, 20.469]], "species": ["Ti", "Ti", "Ti", "Ti", "Tc", "Tc", "Tc", "Tc", "Ag", "Ag", "Ag", "Ag", "Ag", "Ag", "Ag", "Ag"], "fractional_positions": [[0.000, 0.000, 0.000], [0.000, 0.500, 0.250], [0.500, 0.000, 0.750], [0.500, 0.500, 0.500], [0.000, 0.000, 0.500], [0.000, 0.500, 0.750], [0.500, 0.000, 0.250], [0.500, 0.500, 0.000], [0.248, 0.250, 0.625], [0.250, 0.748, 0.875], [0.250, 0.752, 0.375], [0.252, 0.250, 0.125], [0.748, 0.750, 0.125], [0.750, 0.248, 0.375], [0.750, 0.252, 0.875], [0.752, 0.750, 0.625]]}

---

4.
{"formula": "Tb2RuO6", "functional": "PBE", "state": "optimized geometry", "formation_energy_uncorrected_ev_per_atom": -2.300, "space_group": "P2_1/c, No. 14", "crystal_system": "monoclinic", "m_tot_mub_per_cell": 4.0, "de_polymorph_ev_per_atom": 0.000, "lattice": [[5.407, 0.000, 0.000], [0.000, 5.884, 0.000], [-4.494, 0.000, 7.552]], "species": ["Tb", "Tb", "Tb", "Tb", "Ru", "Ru", "O", "O", "O", "O", "O", "O", "O", "O", "O", "O", "O", "O"], "fractional_positions": [[0.196, 0.094, 0.239], [0.196, 0.406, 0.739], [0.804, 0.594, 0.261], [0.804, 0.906, 0.761], [0.500, 0.000, 0.000], [0.500, 0.500, 0.500], [0.146, 0.166, 0.945], [0.146, 0.334, 0.445], [0.274, 0.725, 0.916], [0.274, 0.775, 0.416], [0.424, 0.064, 0.767], [0.424, 0.436, 0.267], [0.576, 0.564, 0.733], [0.576, 0.936, 0.233], [0.726, 0.225, 0.584], [0.726, 0.275, 0.084], [0.854, 0.666, 0.555], [0.854, 0.834, 0.055]]}

---

5.
{"formula": "Dy2InPb9", "functional": "PBE", "state": "optimized geometry", "space_group": "P4/mmm, No. 123", "crystal_system": "tetragonal", "m_tot_mub_per_cell": 0.0, "ef_kj_per_mol_atoms": -17.0, "lattice": [[4.795, 0.000, 0.000], [0.000, 4.795, 0.000], [0.000, 0.000, 15.472]], "species": ["Dy", "Dy", "In", "Pb", "Pb", "Pb", "Pb", "Pb", "Pb", "Pb", "Pb", "Pb"], "fractional_positions": [[0.000, 0.000, 0.152], [0.000, 0.000, 0.848], [0.000, 0.000, 0.500], [0.000, 0.500, 0.000], [0.000, 0.500, 0.329], [0.000, 0.500, 0.671], [0.500, 0.000, 0.000], [0.500, 0.000, 0.329], [0.500, 0.000, 0.671], [0.500, 0.500, 0.168], [0.500, 0.500, 0.500], [0.500, 0.500, 0.832]]}

---

6.
{"formula": "SbPSe2N", "functional": "PBE", "state": "optimized geometry", "formation_energy_uncorrected_ev_per_atom": 1.186, "space_group": "P4/mmm, No. 123", "crystal_system": "tetragonal", "m_tot_mub_per_cell": 0.0, "de_polymorph_ev_per_atom": 0.716, "lattice": [[5.343, 0.000, 0.000], [0.000, 5.343, 0.000], [0.000, 0.000, 3.872]], "species": ["Sb", "P", "Se", "Se", "N"], "fractional_positions": [[0.000, 0.000, 0.000], [0.500, 0.500, 0.500], [0.000, 0.500, 0.000], [0.500, 0.000, 0.000], [0.000, 0.000, 0.500]]}

---

7.
{"formula": "AcZnIn2Rh2", "functional": "PBE", "state": "optimized geometry", "space_group": "P4/mmm, No. 123", "crystal_system": "tetragonal", "m_tot_mub_per_cell": 0.0, "ef_kj_per_mol_atoms": -32.2, "lattice": [[4.744, 0.000, 0.000], [0.000, 4.744, 0.000], [0.000, 0.000, 6.108]], "species": ["Ac", "Zn", "In", "In", "Rh", "Rh"], "fractional_positions": [[0.000, 0.000, 0.000], [0.000, 0.000, 0.500], [0.500, 0.500, 0.249], [0.500, 0.500, 0.751], [0.000, 0.500, 0.500], [0.500, 0.000, 0.500]]}

---

8.
{"formula": "SmZr3N4", "functional": "PBE", "state": "optimized geometry", "formation_energy_uncorrected_ev_per_atom": -1.634, "space_group": "P6_3/mmc, No. 194", "crystal_system": "hexagonal", "m_tot_mub_per_cell": 0.0, "lattice": [[3.318, 0.000, 0.000], [-1.659, 2.873, 0.000], [0.000, 0.000, 21.969]], "species": ["Sm", "Sm", "Zr", "Zr", "Zr", "Zr", "Zr", "Zr", "N", "N", "N", "N", "N", "N", "N", "N"], "fractional_positions": [[0.333, 0.667, 0.250], [0.667, 0.333, 0.750], [0.000, 0.000, 0.000], [0.000, 0.000, 0.500], [0.333, 0.667, 0.620], [0.333, 0.667, 0.880], [0.667, 0.333, 0.120], [0.667, 0.333, 0.380], [0.000, 0.000, 0.177], [0.000, 0.000, 0.323], [0.000, 0.000, 0.677], [0.000, 0.000, 0.823], [0.333, 0.667, 0.060], [0.333, 0.667, 0.440], [0.667, 0.333, 0.560], [0.667, 0.333, 0.940]]}

---

9.
{"formula": "Rb5PmSe4", "functional": "PBE", "state": "optimized geometry", "formation_energy_uncorrected_ev_per_atom": -1.202, "space_group": "C2/m, No. 12", "crystal_system": "monoclinic", "m_tot_mub_per_cell": 0.0, "lattice": [[10.391, -2.392, 0.000], [10.391, 2.392, 0.000], [-3.785, 0.000, 8.031]], "species": ["Rb", "Rb", "Rb", "Rb", "Rb", "Pm", "Se", "Se", "Se", "Se"], "fractional_positions": [[0.000, 0.000, 0.000], [0.328, 0.328, 0.578], [0.329, 0.329, 0.076], [0.671, 0.671, 0.924], [0.672, 0.672, 0.422], [0.000, 0.000, 0.500], [0.166, 0.166, 0.667], [0.500, 0.500, 0.280], [0.500, 0.500, 0.720], [0.834, 0.834, 0.333]]}

---

10.
{"formula": "PrSm2AgHg4", "functional": "PBE", "state": "optimized geometry", "space_group": "R-3m, No. 166", "crystal_system": "trigonal", "m_tot_mub_per_cell": 0.0, "ef_kj_per_mol_atoms": -37.2, "lattice": [[2.577, 1.488, 9.108], [-2.577, 1.488, 9.108], [0.000, -2.975, 9.108]], "species": ["Pr", "Sm", "Sm", "Ag", "Hg", "Hg", "Hg", "Hg"], "fractional_positions": [[0.000, 0.000, 0.000], [0.239, 0.239, 0.239], [0.761, 0.761, 0.761], [0.500, 0.500, 0.500], [0.125, 0.125, 0.125], [0.378, 0.378, 0.378], [0.622, 0.622, 0.622], [0.875, 0.875, 0.875]]}

---

11.
{"formula": "MnGaReOs", "functional": "PBE", "state": "optimized geometry", "space_group": "F-43m, No. 216", "crystal_system": "cubic", "m_tot_mub_per_cell": 8.5, "ef_kj_per_mol_atoms": 4.2, "lattice": [[6.044, 0.000, 0.000], [0.000, 6.044, 0.000], [0.000, 0.000, 6.044]], "species": ["Mn", "Mn", "Mn", "Mn", "Ga", "Ga", "Ga", "Ga", "Re", "Re", "Re", "Re", "Os", "Os", "Os", "Os"], "fractional_positions": [[0.000, 0.000, 0.000], [0.000, 0.500, 0.500], [0.500, 0.000, 0.500], [0.500, 0.500, 0.000], [0.000, 0.000, 0.500], [0.000, 0.500, 0.000], [0.500, 0.000, 0.000], [0.500, 0.500, 0.500], [0.250, 0.250, 0.750], [0.250, 0.750, 0.250], [0.750, 0.250, 0.250], [0.750, 0.750, 0.750], [0.250, 0.250, 0.250], [0.250, 0.750, 0.750], [0.750, 0.250, 0.750], [0.750, 0.750, 0.250]]}

---

12.
{"formula": "NpSc2H", "functional": "PBE", "state": "optimized geometry", "space_group": "R-3m, No. 166", "crystal_system": "trigonal", "m_tot_mub_per_cell": 10.4, "dft_energy_ev_per_cell": -86.8, "lattice": [[3.203, 0.000, 0.000], [-1.602, 2.774, 0.000], [0.000, 0.000, 23.757]], "species": ["Np", "Np", "Np", "Sc", "Sc", "Sc", "Sc", "Sc", "Sc", "H", "H", "H"], "fractional_positions": [[0.000, 0.000, 0.000], [0.333, 0.667, 0.667], [0.667, 0.333, 0.333], [0.000, 0.000, 0.223], [0.000, 0.000, 0.777], [0.333, 0.667, 0.444], [0.333, 0.667, 0.889], [0.667, 0.333, 0.111], [0.667, 0.333, 0.556], [0.000, 0.000, 0.500], [0.333, 0.667, 0.167], [0.667, 0.333, 0.833]]}